CoPt2W at its PBEsol-relaxed geometry, computed with meta-GGA SCAN.

The value obtained for the energy above the lowest structure with this stoichiometry is 37 meV per atom. The calculation puts the density of states at the Fermi level at 4.23 states/eV/cell. For the magnetization, the calculation gives 3.1 μB per cell.

```
data_CoPt2W
_symmetry_space_group_name_H-M 'I -4 m 2'
_symmetry_Int_Tables_number 119
_symmetry_space_group_name_Hall 'I -4 -2'
_cell_length_a 3.809
_cell_length_b 3.809
_cell_length_c 7.617
_cell_angle_alpha 90.00
_cell_angle_beta 90.00
_cell_angle_gamma 90.00
loop_
_atom_site_label
_atom_site_type_symbol
_atom_site_fract_x
_atom_site_fract_y
_atom_site_fract_z
Co1 Co 0.000 0.000 0.000
Pt1 Pt 0.000 0.000 0.500
Pt2 Pt 0.000 0.500 0.250
W1 W 0.000 0.500 0.750
```

YCo2Pt at its PBEsol-relaxed geometry, computed with meta-GGA SCAN.

The calculation puts the density of states at the Fermi level at 14.14 states/eV/cell. For the magnetization, the calculation gives 11.8 μB per cell.

```
data_YCo2Pt
_symmetry_space_group_name_H-M 'R -3 m'
_symmetry_Int_Tables_number 166
_symmetry_space_group_name_Hall '-R 3 2"'
_cell_length_a 2.8349
_cell_length_b 2.8349
_cell_length_c 26.2771
_cell_angle_alpha 90.00
_cell_angle_beta 90.00
_cell_angle_gamma 120.00
loop_
_atom_site_label
_atom_site_type_symbol
_atom_site_fract_x
_atom_site_fract_y
_atom_site_fract_z
Y1 Y 0.0000 0.0000 0.0000
Co1 Co 0.0000 0.0000 0.2431
Pt1 Pt 0.0000 0.0000 0.5000
```

ZnCoPt2 at its PBEsol-relaxed geometry, computed with meta-GGA SCAN.

The calculation puts the density of states at the Fermi level at 2.27 states/eV/cell. For the magnetization, the calculation gives 2.3 μB per cell.

```
data_ZnCoPt2
_symmetry_space_group_name_H-M 'P m m 2'
_symmetry_Int_Tables_number 25
_cell_length_a 2.733
_cell_length_b 4.351
_cell_length_c 4.523
_cell_angle_alpha 90.00
_cell_angle_beta 90.00
_cell_angle_gamma 90.00
loop_
_symmetry_equiv_pos_as_xyz
'x,y,z'
'-x,-y,z'
'-x,y,z'
'x,-y,z'
loop_
_atom_site_label
_atom_site_type_symbol
_atom_site_fract_x
_atom_site_fract_y
_atom_site_fract_z
Zn1 Zn 0.000 0.000 0.000
Co1 Co 0.000 0.500 0.633
Pt1 Pt 0.500 0.000 0.509
Pt2 Pt 0.500 0.500 0.127
```

| no. | energy of formation from the pure elements (meV per atom) |
| --- | --- |
| 1 | -220 |
| 2 | 423 |
| 3 | -315 |